Record 1
Entry from Alexandria: LaTl after structural relaxation (PBE).

Geometry as POSCAR:
```
LaTl
1.0
-6.132 6.132 1.837
6.132 -6.132 1.837
6.132 6.132 -1.837
La Tl
4 4
direct
0.112 0.351 0.462
0.351 0.888 0.239
0.649 0.112 0.761
0.888 0.649 0.538
0.081 0.842 0.923
0.158 0.081 0.239
0.842 0.919 0.761
0.919 0.158 0.077
```

Summary:
Space-group type: I4/m (87)
Total energy, eV per cell: -29.62
Formation energy from the elements, eV/atom: -0.055
Calculated volume, A^3/atom: 34.5
Total moment, μB/f.u.: 0.000



Record 2
Entry from Alexandria: LiPdF3 after structural relaxation (PBE).

Geometry as POSCAR:
```
LiPdF3
1.0
5.262 -4.297 0.000
5.262 4.297 0.000
-0.735 0.000 2.860
Li Pd F
2 2 6
direct
0.173 0.173 0.176
0.827 0.827 0.824
0.315 0.685 0.500
0.685 0.315 0.500
0.014 0.714 0.358
0.286 0.986 0.642
0.369 0.369 0.363
0.631 0.631 0.637
0.714 0.014 0.358
0.986 0.286 0.642
```

Summary:
ΔE_f (raw), eV/atom: -1.848
Space-group type: C2/m (12)
Total energy, eV per cell: -43.92
Energy relative to the lowest polymorph listed for this composition, meV per atom: 0
Calculated volume, A^3/atom: 12.9
Total moment, μB/f.u.: 0.221



Record 3
Entry from Alexandria: Tb3NiPb after structural relaxation (PBE).

Geometry as POSCAR:
```
Tb3NiPb
1.0
5.216 0.000 0.000
0.000 5.216 0.000
0.000 0.000 5.216
Tb Ni Pb
3 1 1
direct
0.000 0.000 0.500
0.000 0.500 0.000
0.500 0.000 0.000
0.000 0.000 0.000
0.500 0.500 0.500
```

Summary:
Space-group type: Pm-3m (221)
Total energy, eV per cell: -24.85
Formation energy from the elements, eV/atom: -0.294
Calculated volume, A^3/atom: 28.4
Total moment, μB/f.u.: 0.000